[1]
DFT (PBE) results for a relaxed Ba3NbSe6 crystal.

Values from the calculation:
SG   P2_1/c
Crystal system   monoclinic
E_tot   -5.007 eV per atom

a b c (Å): 7.586 8.093 12.872
angles (deg): 90.00 122.58 90.00
Positions (direct):
Ba  0.000  0.000  0.000
Ba  0.000  0.500  0.500
Ba  0.294  0.089  0.760
Ba  0.294  0.411  0.260
Ba  0.706  0.589  0.740
Ba  0.706  0.911  0.240
Nb  0.500  0.000  0.500
Nb  0.500  0.500  0.000
Se  0.163  0.031  0.284
Se  0.163  0.469  0.784
Se  0.283  0.672  0.062
Se  0.283  0.828  0.562
Se  0.401  0.223  0.065
Se  0.401  0.277  0.565
Se  0.599  0.723  0.435
Se  0.599  0.777  0.935
Se  0.717  0.172  0.438
Se  0.717  0.328  0.938
Se  0.837  0.531  0.216
Se  0.837  0.969  0.716

[2]
DFT (PBE) results for a relaxed Ba2NbSe crystal.

Values from the calculation:
SG   I-42d
Crystal system   tetragonal
E_tot   -4.409 eV per atom

a b c (Å): 8.845 8.845 8.845
angles (deg): 94.56 94.56 147.24
Positions (direct):
Ba  0.375  0.214  0.339
Ba  0.786  0.125  0.161
Ba  0.875  0.036  0.661
Ba  0.964  0.625  0.839
Nb  0.250  0.750  0.500
Nb  0.500  0.500  0.000
Se  0.000  0.000  0.000
Se  0.750  0.250  0.500

[3]
DFT (PBE) results for a relaxed BaSrNb2Se crystal.

Values from the calculation:
SG   P4/mmm
Crystal system   tetragonal
E_tot   -3.638 eV per atom

a b c (Å): 5.083 5.083 6.511
angles (deg): 90.00 90.00 90.00
Positions (direct):
Ba  0.000  0.000  0.000
Sr  0.000  0.000  0.500
Nb  0.000  0.500  0.500
Nb  0.500  0.000  0.500
Se  0.500  0.500  0.000

[4]
DFT (PBE) results for a relaxed BaNb2TlSe crystal.

Values from the calculation:
SG   P4/mmm
Crystal system   tetragonal
E_tot   -3.635 eV per atom

a b c (Å): 5.516 5.516 5.963
angles (deg): 90.00 90.00 90.00
Positions (direct):
Ba  0.000  0.000  0.000
Nb  0.000  0.500  0.000
Nb  0.500  0.000  0.000
Tl  0.500  0.500  0.500
Se  0.000  0.000  0.500

[5]
DFT (PBE) results for a relaxed Ba2NbTl2Se6 crystal.

Values from the calculation:
SG   C2/m
Crystal system   monoclinic
E_tot   -4.593 eV per atom

a b c (Å): 7.779 7.779 7.473
angles (deg): 98.29 98.29 118.18
Positions (direct):
Ba  0.167  0.833  0.000
Ba  0.833  0.167  0.000
Nb  0.500  0.500  0.000
Tl  0.354  0.646  0.500
Tl  0.646  0.354  0.500
Se  0.167  0.442  0.789
Se  0.293  0.293  0.221
Se  0.442  0.167  0.789
Se  0.558  0.833  0.211
Se  0.707  0.707  0.779
Se  0.833  0.558  0.211

[6]
DFT (PBE) results for a relaxed BaNb2ZnSe crystal.

Values from the calculation:
SG   P4/mmm
Crystal system   tetragonal
E_tot   -4.784 eV per atom

a b c (Å): 4.876 4.876 6.027
angles (deg): 90.00 90.00 90.00
Positions (direct):
Ba  0.000  0.000  0.000
Nb  0.000  0.500  0.500
Nb  0.500  0.000  0.500
Zn  0.500  0.500  0.000
Se  0.000  0.000  0.500

[7]
DFT (PBE) results for a relaxed BaNbSi3 crystal.

Values from the calculation:
SG   Pm-3m
Crystal system   cubic
E_tot   -5.751 eV per atom

a b c (Å): 4.962 4.962 4.962
angles (deg): 90.00 90.00 90.00
Positions (direct):
Ba  0.000  0.000  0.000
Nb  0.500  0.500  0.500
Si  0.000  0.500  0.500
Si  0.500  0.000  0.500
Si  0.500  0.500  0.000

[8]
DFT (PBE) results for a relaxed BaNbSi3 crystal.

Values from the calculation:
SG   Pm-3m
Crystal system   cubic
E_tot   -3.304 eV per atom

a b c (Å): 5.244 5.244 5.244
angles (deg): 90.00 90.00 90.00
Positions (direct):
Ba  0.000  0.000  0.000
Nb  0.500  0.500  0.500
Si  0.000  0.000  0.500
Si  0.000  0.500  0.000
Si  0.500  0.000  0.000

What is the E_tot in the eighth record?
-3.304 eV per atom

The highest E_tot belongs to which entry?
number 8

Repeat the third record exactly.
DFT (PBE) results for a relaxed BaSrNb2Se crystal.

Values from the calculation:
SG   P4/mmm
Crystal system   tetragonal
E_tot   -3.638 eV per atom

a b c (Å): 5.083 5.083 6.511
angles (deg): 90.00 90.00 90.00
Positions (direct):
Ba  0.000  0.000  0.000
Sr  0.000  0.000  0.500
Nb  0.000  0.500  0.500
Nb  0.500  0.000  0.500
Se  0.500  0.500  0.000